Entry 1:
Entry from Alexandria via LeMat-Bulk: crystalline CaLaIn at its relaxed geometry (GGA-PBE).

Summary:
magnetization	0.0	μB per formula unit
ΔH_f (0 K)	-0.290	eV per atom
space group	Pm (6)
uncorrected energy	-3.5121	eV/atom
ΔE to the lowest computed polymorph	45	kJ/mol of formula units

```
6
Lattice="5.6234 0.0000 0.0000 0.0000 3.7801 0.0000 -2.7604 0.0000 8.9935" Properties=species:S:1:pos:R:3 pbc="T T T"
Ca 0.0000 0.0000 0.0000
Ca 0.0548 0.0000 6.6144
La 0.0825 1.8900 3.3122
La 2.8951 0.0000 3.2960
In 2.8082 1.8900 0.5139
In 2.8656 1.8900 6.0883
```

Entry 2:
Entry from Alexandria via LeMat-Bulk: crystalline Cd5In6Pb at its relaxed geometry (GGA-PBE).

Summary:
magnetization	0.0	μB per formula unit
ΔH_f (0 K)	0.028	eV per atom
space group	P2/m (10)
uncorrected energy	-2.0313	eV/atom

```
12
Lattice="4.6484 0.0000 0.0000 0.0000 9.4495 0.0000 -2.0885 0.0000 7.0583" Properties=species:S:1:pos:R:3 pbc="T T T"
Cd 0.0000 0.0000 0.0000
Cd 0.1475 4.7247 4.6153
Cd 0.1526 0.0000 4.7044
Cd 2.4073 0.0000 2.3538
Cd 2.4124 4.7247 2.4430
In 0.0776 2.3011 2.3826
In 0.0776 7.1484 2.3826
In 2.3242 2.2519 0.0000
In 2.3242 7.1976 0.0000
In 2.4823 2.3011 4.6757
In 2.4823 7.1484 4.6757
Pb 0.0000 4.7247 0.0000
```

Entry 3:
Entry from Alexandria via LeMat-Bulk: crystalline Hf2HgSe at its relaxed geometry (GGA-PBE).

Summary:
E_form (uncorrected)	-0.3713	eV per atom
magnetization	0.0	μB per formula unit
space group	R3m (160)
uncorrected energy	-6.2946	eV/atom
ΔE to the lowest computed polymorph	9	kJ/mol of formula units

```
4
Lattice="1.7898 1.0333 7.7291 -1.7898 1.0333 7.7291 0.0000 -2.0667 7.7291" Properties=species:S:1:pos:R:3 pbc="T T T"
Hf 0.0000 0.0000 0.0000
Hf 0.0000 0.0000 4.4046
Hg 0.0000 0.0000 9.9204
Se 0.0000 0.0000 13.7987
```